# 1
VASP calculation (PBE) on crystalline Tb4Y4Ho at its relaxed geometry.

Results
Spin magnetization, μB/cell: 0.00
Energy of formation from the pure elements, meV/atom: 21

Cell: 10.6929 10.6929 5.0302 Å, 90.00 90.00 90.00°
Space group I4/mmm (No. 139)
Asymmetric unit:
Tb (0.0000, 0.3340, 0.0000) x8
Y (0.1663, 0.1663, 0.5000) x8
Ho (0.0000, 0.0000, 0.0000) x2

# 2
VASP calculation (PBE) on crystalline H2IrWSe at its relaxed geometry.

Results
Spin magnetization, μB/cell: 1.87
E, eV per atom: -5.56

Cell: 3.5675 3.5675 5.0582 Å, 90.00 90.00 90.00°
Space group P4/mmm (No. 123)
Asymmetric unit:
H (0.0000, 0.5000, 0.0000) x2
Ir (0.0000, 0.0000, 0.0000) x1
W (0.5000, 0.5000, 0.5000) x1
Se (0.0000, 0.0000, 0.5000) x1

# 3
VASP calculation (PBE) on crystalline SrAc2In at its relaxed geometry.

Results
Spin magnetization, μB/cell: 0.01
Energy of formation from the pure elements, meV/atom: -73

Cell: 8.5454 8.5454 8.5454 Å, 90.00 90.00 90.00°
Space group Fm-3m (No. 225)
Asymmetric unit:
Sr (0.0000, 0.0000, 0.0000) x4
Ac (0.2500, 0.2500, 0.2500) x8
In (0.0000, 0.0000, 0.5000) x4

# 4
VASP calculation (PBE) on crystalline MnBr2Cl at its relaxed geometry.

Results
Formation energy from raw total energies, eV/atom: -0.267
Spin magnetization, μB/cell: 8.00

Cell: 3.5929 10.8485 8.6293 Å, 90.00 90.00 90.00°
Space group Cmmm (No. 65)
Asymmetric unit:
Mn (0.0000, 0.0000, 0.0000) x2
Br (0.0000, 0.5000, 0.2013) x4
Cl (0.0000, 0.0000, 0.5000) x2

# 5
VASP calculation (PBE) on crystalline Rb5ClF4 at its relaxed geometry.

Results
Formation energy from raw total energies, eV/atom: -2.472
Spin magnetization, μB/cell: 0.81

Cell: 4.2874 4.2874 29.3533 Å, 90.00 90.00 90.00°
Space group I4/mmm (No. 139)
Asymmetric unit:
Rb (0.0000, 0.0000, 0.0000) x2
Rb (0.0000, 0.0000, 0.2029) x4
Rb (0.0000, 0.0000, 0.3897) x4
Cl (0.0000, 0.0000, 0.5000) x2
F (0.0000, 0.0000, 0.1069) x4
F (0.0000, 0.0000, 0.2968) x4

# 6
VASP calculation (PBE) on crystalline ZnPbBr4 at its relaxed geometry.

Results
Formation energy from raw total energies, eV/atom: -0.816
Spin magnetization, μB/cell: 0.00

Cell: 7.3745 4.0746 15.3226 Å, 90.00 117.30 90.00°
Space group P2_1/c (No. 14)
Asymmetric unit:
Zn (0.0000, 0.0000, 0.0000) x2
Pb (0.5000, 0.0000, 0.5000) x2
Br (0.1708, 0.0000, 0.8830) x4
Br (0.2460, 0.0052, 0.6105) x4

# 7
VASP calculation (PBE) on crystalline P2PbCl at its relaxed geometry.

Results
Formation energy from raw total energies, eV/atom: -0.183
Spin magnetization, μB/cell: 0.00

Cell: 8.9075 3.4160 7.7182 Å, 90.00 102.76 90.00°
Space group Cm (No. 8)
Asymmetric unit:
P (0.0000, 0.0000, 0.0000) x2
P (0.1516, 0.5000, 0.0983) x2
Pb (0.1774, 0.0000, 0.7371) x2
Cl (0.4644, 0.0000, 0.5244) x2

# 8
VASP calculation (PBE) on crystalline Sr2NdIn3 at its relaxed geometry.

Results
Spin magnetization, μB/cell: 0.00
Energy of formation from the pure elements, meV/atom: -437

Cell: 5.6380 16.9666 8.0518 Å, 90.00 90.00 90.00°
Space group Cmmm (No. 65)
Asymmetric unit:
Sr (0.0000, 0.0000, 0.0000) x2
Sr (0.0000, 0.0000, 0.5000) x2
Sr (0.0000, 0.3347, 0.0000) x4
Nd (0.0000, 0.3387, 0.5000) x4
In (0.0000, 0.1722, 0.2662) x8
In (0.0000, 0.5000, 0.2570) x4

# 9
VASP calculation (PBE) on crystalline NpAl11Fe at its relaxed geometry.

Results
Spin magnetization, μB/cell: 9.35
Energy of formation from the pure elements, meV/atom: -117

Cell: 5.1602 12.5412 7.0300 Å, 90.00 110.22 90.00°
Space group C2/m (No. 12)
Asymmetric unit:
Np (0.0000, 0.0000, 0.0000) x2
Al (0.0000, 0.0000, 0.5000) x2
Al (0.1046, 0.3947, 0.2251) x8
Al (0.1945, 0.1707, 0.3605) x8
Al (0.2500, 0.2500, 0.0000) x4
Fe (0.0000, 0.5000, 0.5000) x2

# 10
VASP calculation (PBE) on crystalline Ac4CeN5 at its relaxed geometry.

Results
Formation energy from raw total energies, eV/atom: -1.151
Spin magnetization, μB/cell: 0.00

Cell: 8.5488 8.5488 5.4953 Å, 90.00 90.00 90.00°
Space group I4 (No. 79)
Asymmetric unit:
Ac (0.1038, 0.2980, 0.0000) x8
Ce (0.0000, 0.0000, 0.4815) x2
N (0.0000, 0.0000, 0.0619) x2
N (0.0929, 0.2749, 0.5043) x8

# 11
VASP calculation (PBE) on crystalline LaY2Er at its relaxed geometry.

Results
Spin magnetization, μB/cell: 0.00
Energy of formation from the pure elements, meV/atom: 24

Cell: 3.6032 3.6032 35.1170 Å, 90.00 90.00 120.00°
Space group R-3m (No. 166, hexagonal axes)
Asymmetric unit:
La (0.0000, 0.0000, 0.0000) x3
Y (0.0000, 0.0000, 0.2478) x6
Er (0.0000, 0.0000, 0.5000) x3

# 12
VASP calculation (PBE) on crystalline CsMoI3 at its relaxed geometry.

Results
Formation energy from raw total energies, eV/atom: -0.441
Spin magnetization, μB/cell: 4.00

Cell: 5.8767 5.8767 5.8767 Å, 90.00 90.00 90.00°
Space group Pm-3m (No. 221)
Asymmetric unit:
Cs (0.0000, 0.0000, 0.0000) x1
Mo (0.5000, 0.5000, 0.5000) x1
I (0.0000, 0.5000, 0.5000) x3

# 13
VASP calculation (PBE) on crystalline Rb3NpS4 at its relaxed geometry.

Results
Formation energy from raw total energies, eV/atom: -1.232
Spin magnetization, μB/cell: 4.00

Cell: 8.1322 9.1471 7.3430 Å, 90.00 109.20 90.00°
Space group P2/c (No. 13)
Asymmetric unit:
Rb (0.0000, 0.1118, 0.2500) x2
Rb (0.0000, 0.3715, 0.7500) x2
Rb (0.5000, 0.3874, 0.2500) x2
Np (0.5000, 0.1117, 0.7500) x2
S (0.2909, 0.3091, 0.5577) x4
S (0.3196, 0.0943, 0.0004) x4

# 14
VASP calculation (PBE) on crystalline MgBe2Ga at its relaxed geometry.

Results
Spin magnetization, μB/cell: 0.00
Energy of formation from the pure elements, meV/atom: 376

Cell: 5.9729 5.9729 5.9729 Å, 90.00 90.00 90.00°
Space group Fm-3m (No. 225)
Asymmetric unit:
Mg (0.0000, 0.0000, 0.0000) x4
Be (0.2500, 0.2500, 0.2500) x8
Ga (0.0000, 0.0000, 0.5000) x4

# 15
VASP calculation (PBE) on crystalline He at its relaxed geometry.

Results
Spin magnetization, μB/cell: 0.04
Energy of formation from the pure elements, meV/atom: 2

Cell: 2.7307 2.7307 4.4469 Å, 90.00 90.00 120.00°
Space group P6_3/mmc (No. 194)
Asymmetric unit:
He (0.3333, 0.6667, 0.2500) x2

# 16
VASP calculation (PBE) on crystalline Cd2CuCl at its relaxed geometry.

Results
Formation energy from raw total energies, eV/atom: -0.118
Spin magnetization, μB/cell: 0.00

Cell: 3.4774 3.4774 24.2052 Å, 90.00 90.00 120.00°
Space group R3m (No. 160, hexagonal axes)
Asymmetric unit:
Cd (0.0000, 0.0000, 0.0000) x3
Cd (0.0000, 0.0000, 0.2361) x3
Cu (0.0000, 0.0000, 0.7426) x3
Cl (0.0000, 0.0000, 0.4686) x3

# 17
VASP calculation (PBE) on crystalline In2Si2Pb at its relaxed geometry.

Results
Formation energy from raw total energies, eV/atom: 0.428
Spin magnetization, μB/cell: 0.00

Cell: 4.5241 4.5241 12.1166 Å, 90.00 90.00 90.00°
Space group I4/mmm (No. 139)
Asymmetric unit:
In (0.0000, 0.0000, 0.1174) x4
Si (0.0000, 0.5000, 0.2500) x4
Pb (0.0000, 0.0000, 0.5000) x2

# 18
VASP calculation (PBE) on crystalline ScS2N at its relaxed geometry.

Results
Formation energy from raw total energies, eV/atom: 0.214
Spin magnetization, μB/cell: 0.00

Cell: 4.9611 4.9611 11.9696 Å, 90.00 90.00 90.00°
Space group I-42d (No. 122)
Asymmetric unit:
Sc (0.0000, 0.0000, 0.0000) x4
S (0.1738, 0.2500, 0.6250) x8
N (0.0000, 0.0000, 0.5000) x4

# 19
VASP calculation (PBE) on crystalline FeWSe at its relaxed geometry.

Results
Formation energy from raw total energies, eV/atom: 0.770
Spin magnetization, μB/cell: 7.12

Cell: 5.7519 5.7519 5.7519 Å, 90.00 90.00 90.00°
Space group F-43m (No. 216)
Asymmetric unit:
Fe (0.0000, 0.0000, 0.0000) x4
W (0.0000, 0.0000, 0.5000) x4
Se (0.2500, 0.2500, 0.2500) x4

# 20
VASP calculation (PBE) on crystalline NaHo2IrO5 at its relaxed geometry.

Results
Formation energy from raw total energies, eV/atom: -2.276
Spin magnetization, μB/cell: 0.00

Cell: 3.9788 5.7013 10.9215 Å, 90.00 90.00 90.00°
Space group Immm (No. 71)
Asymmetric unit:
Na (0.0000, 0.0000, 0.0000) x2
Ho (0.0000, 0.5000, 0.2096) x4
Ir (0.0000, 0.0000, 0.5000) x2
O (0.0000, 0.2286, 0.3505) x8
O (0.0000, 0.5000, 0.0000) x2